DFT (PBE) results for an optimized crystal structure of BePb3Se.

Computed properties:
Relative energy among the computed polymorphs   0.000 eV/atom
Total moment   0.000 μB/atom

Cell lengths 5.128, 5.128, 5.128 Å; angles 90.00, 90.00, 90.00 degrees
Space group Pm-3m (No. 221)
Asymmetric unit:
Be  0.000  0.000  0.000
Pb  0.000  0.000  0.500
Se  0.500  0.500  0.500